(1)
Compound: ZrSc2Ru
Source: the Alexandria database
Functional: PBE-GGA
Structure: optimized geometry

## Properties
The calculation puts the energy above the most stable polymorph in this dataset at 57 meV/atom. The formation energy is -0.296 eV/atom. The total energy is -31.67 eV per cell.

CIF file:
```
data_ZrSc2Ru
_symmetry_space_group_name_H-M 'P 4 m m'
_symmetry_Int_Tables_number 99
_cell_length_a 3.276
_cell_length_b 3.276
_cell_length_c 7.711
_cell_angle_alpha 90.00
_cell_angle_beta 90.00
_cell_angle_gamma 90.00
loop_
_symmetry_equiv_pos_as_xyz
'x,y,z'
'-y,x,z'
'-x,-y,z'
'y,-x,z'
'-x,y,z'
'y,x,z'
'x,-y,z'
'-y,-x,z'
loop_
_atom_site_label
_atom_site_type_symbol
_atom_site_fract_x
_atom_site_fract_y
_atom_site_fract_z
_atom_site_occupancy
Zr1 Zr 0.000 0.000 0.000 1
Sc1 Sc 0.000 0.000 0.409 1
Sc2 Sc 0.500 0.500 0.729 1
Ru1 Ru 0.500 0.500 0.211 1
```

(2)
Compound: Pa2Ni4As3P
Source: the Alexandria database
Functional: PBE-GGA
Structure: optimized geometry

## Properties
The formation energy is -0.730 eV/atom. The total energy is -68.78 eV per cell.

CIF file:
```
data_Pa2Ni4As3P
_symmetry_space_group_name_H-M 'P -4 m 2'
_symmetry_Int_Tables_number 115
_cell_length_a 4.216
_cell_length_b 4.216
_cell_length_c 8.890
_cell_angle_alpha 90.00
_cell_angle_beta 90.00
_cell_angle_gamma 90.00
loop_
_symmetry_equiv_pos_as_xyz
'x,y,z'
'y,-x,-z'
'-x,-y,z'
'-y,x,-z'
'-x,y,z'
'-y,-x,-z'
'x,-y,z'
'y,x,-z'
loop_
_atom_site_label
_atom_site_type_symbol
_atom_site_fract_x
_atom_site_fract_y
_atom_site_fract_z
_atom_site_occupancy
Pa1 Pa 0.000 0.500 0.248 1
Ni1 Ni 0.000 0.000 0.500 1
Ni2 Ni 0.000 0.500 0.893 1
Ni3 Ni 0.500 0.500 0.500 1
As1 As 0.000 0.000 0.000 1
As2 As 0.000 0.500 0.632 1
P1 P 0.500 0.500 0.000 1
```

(3)
Compound: MgOs3
Source: the Alexandria database
Functional: PBE-GGA
Structure: optimized geometry

## Properties
The formation energy is 0.346 eV/atom. The total energy is -67.80 eV per cell.

CIF file:
```
data_MgOs3
_symmetry_space_group_name_H-M 'C m m m'
_symmetry_Int_Tables_number 65
_symmetry_space_group_name_Hall '-C 2 2'
_cell_length_a 5.450
_cell_length_b 7.910
_cell_length_c 2.737
_cell_angle_alpha 90.00
_cell_angle_beta 90.00
_cell_angle_gamma 90.00
loop_
_atom_site_label
_atom_site_type_symbol
_atom_site_fract_x
_atom_site_fract_y
_atom_site_fract_z
_atom_site_occupancy
Mg1 Mg 0.000 0.000 0.000 1
Os1 Os 0.000 0.500 0.000 1
Os2 Os 0.250 0.250 0.500 1
```

(4)
Compound: Gd2MgBr
Source: the Alexandria database
Functional: PBE-GGA
Structure: optimized geometry

## Properties
As for the formation energy from raw total energies: -25.92 kJ per mole of atoms. The total energy is -97.51 eV per cell.

CIF file:
```
data_Gd2MgBr
_symmetry_space_group_name_H-M 'R -3 m'
_symmetry_Int_Tables_number 166
_symmetry_space_group_name_Hall '-R 3 2"'
_cell_length_a 3.5049
_cell_length_b 3.5049
_cell_length_c 33.9147
_cell_angle_alpha 90.00
_cell_angle_beta 90.00
_cell_angle_gamma 120.00
loop_
_atom_site_label
_atom_site_type_symbol
_atom_site_fract_x
_atom_site_fract_y
_atom_site_fract_z
_atom_site_occupancy
Gd1 Gd 0.0000 0.0000 0.0969 1
Mg1 Mg 0.0000 0.0000 0.0000 1
Br1 Br 0.0000 0.0000 0.5000 1
```

(5)
Compound: MnCoTcHOs
Source: the Alexandria database
Functional: PBE-GGA
Structure: optimized geometry

## Properties
The calculation puts the energy above the most stable polymorph in this dataset at 75 meV/atom. The total energy is -81.67 eV per cell.

CIF file:
```
data_MnCoTcHOs
_symmetry_space_group_name_H-M 'C 1 m 1'
_symmetry_Int_Tables_number 8
_cell_length_a 9.680
_cell_length_b 2.682
_cell_length_c 4.577
_cell_angle_alpha 90.00
_cell_angle_beta 116.66
_cell_angle_gamma 90.00
loop_
_symmetry_equiv_pos_as_xyz
'x,y,z'
'x,-y,z'
'x+1/2,y+1/2,z'
'x+1/2,-y+1/2,z'
loop_
_atom_site_label
_atom_site_type_symbol
_atom_site_fract_x
_atom_site_fract_y
_atom_site_fract_z
_atom_site_occupancy
Mn1 Mn 0.000 0.000 0.000 1
Co1 Co 0.226 0.000 0.545 1
Tc1 Tc 0.490 0.000 0.467 1
H1 H 0.411 0.000 0.768 1
Os1 Os 0.234 0.500 0.053 1
```

(6)
Compound: La2CdAs2O
Source: the Alexandria database
Functional: PBE-GGA
Structure: optimized geometry

## Properties
As for the formation energy from raw total energies: -41.87 kJ per mole of atoms. The total energy is -27.63 eV per cell.

CIF file:
```
data_La2CdAs2O
_symmetry_space_group_name_H-M 'P 4/m m m'
_symmetry_Int_Tables_number 123
_symmetry_space_group_name_Hall '-P 4 2'
_cell_length_a 3.434
_cell_length_b 3.434
_cell_length_c 15.346
_cell_angle_alpha 90.00
_cell_angle_beta 90.00
_cell_angle_gamma 90.00
loop_
_atom_site_label
_atom_site_type_symbol
_atom_site_fract_x
_atom_site_fract_y
_atom_site_fract_z
_atom_site_occupancy
La1 La 0.000 0.000 0.137 1
Cd1 Cd 0.000 0.000 0.500 1
As1 As 0.000 0.000 0.334 1
O1 O 0.000 0.000 0.000 1
```

Please write out number 4 again, unchanged.
Compound: Gd2MgBr
Source: the Alexandria database
Functional: PBE-GGA
Structure: optimized geometry

## Properties
As for the formation energy from raw total energies: -25.92 kJ per mole of atoms. The total energy is -97.51 eV per cell.

CIF file:
```
data_Gd2MgBr
_symmetry_space_group_name_H-M 'R -3 m'
_symmetry_Int_Tables_number 166
_symmetry_space_group_name_Hall '-R 3 2"'
_cell_length_a 3.5049
_cell_length_b 3.5049
_cell_length_c 33.9147
_cell_angle_alpha 90.00
_cell_angle_beta 90.00
_cell_angle_gamma 120.00
loop_
_atom_site_label
_atom_site_type_symbol
_atom_site_fract_x
_atom_site_fract_y
_atom_site_fract_z
_atom_site_occupancy
Gd1 Gd 0.0000 0.0000 0.0969 1
Mg1 Mg 0.0000 0.0000 0.0000 1
Br1 Br 0.0000 0.0000 0.5000 1
```